VASP calculation (PBE-GGA) on DyEr2InRh4 after structural relaxation.

Cell: 8.1988 8.1988 8.1988 Å, 33.73 33.73 33.73°
Fractional positions:
Dy  0.0000  0.0000  0.0000
Er  0.2452  0.2452  0.2452
Er  0.7548  0.7548  0.7548
In  0.5000  0.5000  0.5000
Rh  0.1239  0.1239  0.1239
Rh  0.3758  0.3758  0.3758
Rh  0.6242  0.6242  0.6242
Rh  0.8761  0.8761  0.8761

Results
energy relative to the elements = -0.841 eV/atom
calculated volume = 151.4 Å³ per cell
symmetry = R-3m, No. 166
spin magnetization = 0.00 μB per formula unit